(1)
The following is a DFT calculation (PBE) of an optimized crystal structure of FeBi3H.

Output
The calculated density is 10.46 g/cm3. Its total energy is -3.776 eV per atom. As for the energy relative to the lowest polymorph listed for this composition: 94 meV per atom.

Structure (POSCAR):
```
FeBi3H
1.0
4.771 0.000 0.000
0.000 4.771 0.000
0.000 0.000 4.771
Fe Bi H
1 3 1
Direct
0.000 0.000 0.000
0.000 0.500 0.500
0.500 0.000 0.500
0.500 0.500 0.000
0.500 0.500 0.500
```



(2)
The following is a DFT calculation (PBE) of an optimized crystal structure of ZnCuPt5.

Output
For the calculated formation energy, the calculation gives 0.22 eV per atom. The calculated density is 14.98 g/cm3. Its total energy is -4.864 eV per atom.

Structure (POSCAR):
```
ZnCuPt5
1.0
-2.532 3.435 3.518
2.532 -3.435 3.518
2.532 3.435 -3.518
Zn Cu Pt
1 1 5
Direct
0.000 0.000 0.000
0.999 0.499 0.500
0.138 0.325 0.813
0.340 0.840 0.500
0.512 0.325 0.187
0.671 0.426 0.755
0.671 0.917 0.245
```



(3)
The following is a DFT calculation (PBE) of an optimized crystal structure of Ba2CdHgN.

Output
The calculated density is 6.66 g/cm3. Its total energy is -2.926 eV per atom. As for the energy relative to the elements, uncorrected: -0.2489 eV/atom.

Structure (POSCAR):
```
Ba2CdHgN
1.0
5.784 0.000 0.000
0.000 5.784 0.000
0.000 0.000 4.482
Ba Cd Hg N
2 1 1 1
Direct
0.000 0.500 0.000
0.500 0.000 0.000
0.000 0.000 0.500
0.500 0.500 0.500
0.000 0.000 0.000
```



(4)
The following is a DFT calculation (PBE) of an optimized crystal structure of SiOsCl2.

Output
The calculated density is 5.41 g/cm3. Its total energy is -4.842 eV per atom. As for the energy relative to the lowest polymorph listed for this composition: 442 meV per atom. As for the energy relative to the elements, uncorrected: 0.2441 eV/atom.

Structure (POSCAR):
```
SiOsCl2
1.0
-1.476 2.075 7.241
1.476 -2.075 7.241
1.476 2.075 -7.241
Si Os Cl
1 1 2
Direct
0.000 0.000 0.000
0.500 0.500 0.000
0.358 0.858 0.500
0.642 0.142 0.500
```



(5)
The following is a DFT calculation (PBE) of an optimized crystal structure of GdHfFeIr.

Output
For the calculated formation energy, the calculation gives -0.38 eV per atom. The calculated density is 13.31 g/cm3. Its total energy is -10.716 eV per atom.

Structure (POSCAR):
```
GdHfFeIr
1.0
0.000 3.315 3.315
3.315 0.000 3.315
3.315 3.315 0.000
Gd Hf Fe Ir
1 1 1 1
Direct
0.000 0.000 0.000
0.500 0.500 0.500
0.750 0.750 0.750
0.250 0.250 0.250
```



(6)
The following is a DFT calculation (PBE) of an optimized crystal structure of ZnSi2SnO6.

Output
The calculated density is 3.99 g/cm3. Its total energy is -6.738 eV per atom. As for the energy relative to the lowest polymorph listed for this composition: 0 meV per atom. As for the energy relative to the elements, uncorrected: -2.1508 eV/atom.

Structure (POSCAR):
```
ZnSi2SnO6
1.0
5.456 -4.961 0.000
5.456 4.961 0.000
-1.923 0.000 5.169
Zn Si Sn O
2 4 2 12
Direct
0.217 0.783 0.750
0.783 0.217 0.250
0.135 0.319 0.716
0.319 0.135 0.216
0.681 0.865 0.784
0.865 0.681 0.284
0.348 0.652 0.250
0.652 0.348 0.750
0.089 0.730 0.384
0.171 0.543 0.828
0.219 0.232 0.458
0.232 0.219 0.958
0.270 0.911 0.116
0.457 0.829 0.672
0.543 0.171 0.328
0.730 0.089 0.884
0.768 0.781 0.042
0.781 0.768 0.542
0.829 0.457 0.172
0.911 0.270 0.616
```